Here is SrAs4Pb after structural relaxation from the Alexandria database. Energies are from GGA-PBE.

Cell lengths 5.883, 5.883, 5.883 Å; angles 60.00, 60.00, 60.00 degrees
Atoms (fractional coordinates):
1 Sr 0.000 0.000 0.000
2 As 0.861 0.380 0.380
3 As 0.380 0.380 0.861
4 As 0.380 0.861 0.380
5 As 0.380 0.380 0.380
6 Pb 0.750 0.750 0.750

As for the symmetry: F-43m, No. 216. As for the mass density: 6.86 g/cm3.

Here is PaMnAlPd after structural relaxation from the Alexandria database. Energies are from GGA-PBE.

Cell lengths 4.642, 4.642, 4.642 Å; angles 60.00, 60.00, 60.00 degrees
Atoms (fractional coordinates):
1 Mn 0.750 0.750 0.750
2 Pa 0.500 0.500 0.500
3 Al 0.000 0.000 0.000
4 Pd 0.250 0.250 0.250

As for the symmetry: F-43m, No. 216. As for the mass density: 9.85 g/cm3.

Raw total energy per entry: -4.1420 -7.1471 eV per atom
Calculated formation energy per entry: -0.86 -0.99 eV/f.u.
Total magnetic moment per entry: 0.0 1.6 μB/cell